First-principles (PBE-GGA) data for a relaxed structure of LiTeRh2O6, as listed in the Alexandria database.

a b c (Å): 4.5834 5.5599 5.5599
angles (deg): 90.00 90.00 90.00
Closest atoms and distances in Å follow each position.
Sites, in units of the cell vectors:
Li 0.5962 0.5000 0.5000  5 O 2.00-2.17
Te 0.6162 0.0000 0.0000  5 O 1.82-2.02
Rh 0.8994 0.5000 0.0000  4 O 2.06
Rh 0.8994 0.0000 0.5000  4 O 2.06
O 0.7637 0.2416 0.2416  1 Te 2.02, 2 Rh 2.06, 1 Li 2.17
O 0.7637 0.2416 0.7584  1 Te 2.02, 2 Rh 2.06, 1 Li 2.17
O 0.1607 0.5000 0.5000  1 Li 2.00
O 0.2200 0.0000 0.0000  1 Te 1.82
O 0.7637 0.7584 0.7584  1 Te 2.02, 2 Rh 2.06, 1 Li 2.17
O 0.7637 0.7584 0.2416  1 Te 2.02, 2 Rh 2.06, 1 Li 2.17

## Properties
ρ ... 5.114 Mg/m³
Raw formation energy ... -37.4 kJ/mol of atoms
Magnetization ... 1.59 μB/f.u.